Below is an optimized crystal structure of Pm4TmGa3, with properties calculated at the PBE level.

Structure (POSCAR):
```
Pm4TmGa3
1.0
-5.907 5.907 3.057
5.907 -5.907 3.057
5.907 5.907 -3.057
Pm Tm Ga
8 2 6
Direct
0.088 0.784 0.872 Pm
0.216 0.088 0.304 Pm
0.284 0.588 0.872 Pm
0.412 0.284 0.696 Pm
0.588 0.716 0.304 Pm
0.716 0.412 0.128 Pm
0.784 0.912 0.696 Pm
0.912 0.216 0.128 Pm
0.250 0.750 0.500 Tm
0.750 0.250 0.500 Tm
0.154 0.346 0.500 Ga
0.250 0.250 0.000 Ga
0.346 0.846 0.191 Ga
0.654 0.154 0.809 Ga
0.750 0.750 0.000 Ga
0.846 0.654 0.500 Ga
```

Results
Its raw total energy is -72.6 eV for the cell shown. The mass density comes out at 7.5 g/cm³. The size of the total moment is 0.00 μB per cell. The space group is I4/mcm (140). The energy of formation comes out at -0.47 eV/atom.



Below is an optimized crystal structure of Pm2TmGa, with properties calculated at the PBE level.

Structure (POSCAR):
```
Pm2TmGa
1.0
3.663 0.000 0.000
0.000 9.874 0.000
-1.831 0.000 6.398
Pm Tm Ga
4 2 2
Direct
0.134 0.050 0.269 Pm
0.134 0.450 0.269 Pm
0.866 0.550 0.731 Pm
0.866 0.950 0.731 Pm
0.443 0.250 0.887 Tm
0.557 0.750 0.113 Tm
0.242 0.750 0.482 Ga
0.758 0.250 0.518 Ga
```

Results
Its raw total energy is -36.1 eV for the cell shown. Its relative energy among the computed polymorphs is 0.00 eV per formula unit. The mass density comes out at 7.6 g/cm³. The size of the total moment is 0.00 μB per cell. The space group is P2_1/m (11). The energy of formation comes out at -0.26 eV/atom.



Below is an optimized crystal structure of Pm3TmGa, with properties calculated at the PBE level.

Structure (POSCAR):
```
Pm3TmGa
1.0
5.991 -4.561 0.000
5.991 4.561 0.000
-5.080 0.000 5.926
Pm Tm Ga
6 2 2
Direct
0.059 0.059 0.335 Pm
0.083 0.461 0.239 Pm
0.461 0.083 0.239 Pm
0.539 0.917 0.761 Pm
0.917 0.539 0.761 Pm
0.941 0.941 0.665 Pm
0.438 0.438 0.738 Tm
0.562 0.562 0.262 Tm
0.255 0.255 0.879 Ga
0.745 0.745 0.121 Ga
```

Results
Its raw total energy is -44.1 eV for the cell shown. The mass density comes out at 6.9 g/cm³. The size of the total moment is 0.00 μB per cell. The space group is C2/m (12). The energy of formation comes out at -0.06 eV/atom.



Below is an optimized crystal structure of Pm2TmGa, with properties calculated at the PBE level.

Structure (POSCAR):
```
Pm2TmGa
1.0
3.584 0.000 0.000
0.000 3.584 0.000
0.000 0.000 8.969
Pm Tm Ga
2 1 1
Direct
0.000 0.000 0.213 Pm
0.000 0.000 0.787 Pm
0.500 0.500 0.500 Tm
0.500 0.500 0.000 Ga
```

Results
Its raw total energy is -17.9 eV for the cell shown. Its relative energy among the computed polymorphs is 0.11 eV per formula unit. The mass density comes out at 7.6 g/cm³. The size of the total moment is 0.00 μB per cell. The space group is P4/mmm (123). The energy of formation comes out at -0.23 eV/atom.



Below is an optimized crystal structure of Pm7TmGa4, with properties calculated at the PBE level.

Structure (POSCAR):
```
Pm7TmGa4
1.0
6.918 -2.797 0.000
6.918 2.797 0.000
-5.885 0.000 8.694
Pm Tm Ga
7 1 4
Direct
0.000 0.000 0.000 Pm
0.206 0.206 0.647 Pm
0.294 0.294 0.119 Pm
0.435 0.435 0.614 Pm
0.565 0.565 0.386 Pm
0.706 0.706 0.881 Pm
0.794 0.794 0.353 Pm
0.500 0.500 0.000 Tm
0.054 0.054 0.758 Ga
0.178 0.178 0.331 Ga
0.822 0.822 0.669 Ga
0.946 0.946 0.242 Ga
```

Results
Its raw total energy is -52.3 eV for the cell shown. The mass density comes out at 7.2 g/cm³. The size of the total moment is 0.00 μB per cell. The space group is C2/m (12). The energy of formation comes out at -0.20 eV/atom.



Below is an optimized crystal structure of Pm3TmGa8, with properties calculated at the PBE level.

Structure (POSCAR):
```
Pm3TmGa8
1.0
2.775 1.602 9.182
-2.775 1.602 9.182
0.000 -3.204 9.182
Pm Tm Ga
3 1 8
Direct
0.000 0.000 0.000 Pm
0.125 0.125 0.125 Pm
0.624 0.624 0.624 Pm
0.501 0.501 0.501 Tm
0.061 0.061 0.561 Ga
0.061 0.561 0.061 Ga
0.064 0.563 0.563 Ga
0.312 0.312 0.312 Ga
0.561 0.061 0.061 Ga
0.563 0.064 0.563 Ga
0.563 0.563 0.064 Ga
0.813 0.813 0.813 Ga
```

Results
Its raw total energy is -49.6 eV for the cell shown. The mass density comes out at 7.9 g/cm³. The size of the total moment is 0.00 μB per cell. The space group is R3m (160). The energy of formation comes out at -0.56 eV/atom.



Below is an optimized crystal structure of Pm4Tm3Ga4, with properties calculated at the PBE level.

Structure (POSCAR):
```
Pm4Tm3Ga4
1.0
-1.757 4.513 9.135
1.757 -4.513 9.135
1.757 4.513 -9.135
Pm Tm Ga
4 3 4
Direct
0.011 0.835 0.177 Pm
0.342 0.165 0.177 Pm
0.658 0.835 0.823 Pm
0.989 0.165 0.823 Pm
0.000 0.500 0.500 Tm
0.407 0.407 0.000 Tm
0.593 0.593 0.000 Tm
0.278 0.000 0.278 Ga
0.278 0.778 0.500 Ga
0.722 0.000 0.722 Ga
0.722 0.222 0.500 Ga
```

Results
Its raw total energy is -49.0 eV for the cell shown. The mass density comes out at 7.8 g/cm³. The size of the total moment is 0.00 μB per cell. The space group is Immm (71). The energy of formation comes out at -0.41 eV/atom.



Below is an optimized crystal structure of Pm8TmGa6, with properties calculated at the PBE level.

Structure (POSCAR):
```
Pm8TmGa6
1.0
4.396 2.538 6.288
-4.396 2.538 6.288
0.000 -5.076 6.288
Pm Tm Ga
8 1 6
Direct
0.055 0.720 0.387 Pm
0.166 0.166 0.166 Pm
0.280 0.613 0.945 Pm
0.387 0.055 0.720 Pm
0.613 0.945 0.280 Pm
0.720 0.387 0.055 Pm
0.834 0.834 0.834 Pm
0.945 0.280 0.613 Pm
0.500 0.500 0.500 Tm
0.117 0.444 0.771 Ga
0.229 0.883 0.556 Ga
0.444 0.771 0.117 Ga
0.556 0.229 0.883 Ga
0.771 0.117 0.444 Ga
0.883 0.556 0.229 Ga
```

Results
Its raw total energy is -66.1 eV for the cell shown. The mass density comes out at 6.9 g/cm³. The size of the total moment is 0.00 μB per cell. The space group is R-3 (148). The energy of formation comes out at -0.36 eV/atom.



Below is an optimized crystal structure of PmTm2Ga6, with properties calculated at the PBE level.

Structure (POSCAR):
```
PmTm2Ga6
1.0
7.293 0.000 0.000
-3.647 6.316 0.000
0.000 0.000 4.121
Pm Tm Ga
1 2 6
Direct
0.000 0.000 0.000 Pm
0.333 0.667 0.000 Tm
0.667 0.333 0.000 Tm
0.000 0.335 0.500 Ga
0.000 0.665 0.500 Ga
0.335 0.000 0.500 Ga
0.335 0.335 0.500 Ga
0.665 0.000 0.500 Ga
0.665 0.665 0.500 Ga
```

Results
Its raw total energy is -37.4 eV for the cell shown. Its relative energy among the computed polymorphs is 0.00 eV per formula unit. The mass density comes out at 7.9 g/cm³. The size of the total moment is 0.00 μB per cell. The space group is P6/mmm (191). The energy of formation comes out at -0.61 eV/atom.



Below is an optimized crystal structure of PmTmGa6, with properties calculated at the PBE level.

Structure (POSCAR):
```
PmTmGa6
1.0
6.297 0.000 0.000
-3.148 5.453 0.000
0.000 0.000 4.601
Pm Tm Ga
1 1 6
Direct
0.000 0.000 0.000 Pm
0.333 0.667 0.500 Tm
0.378 0.189 0.500 Ga
0.519 0.037 0.000 Ga
0.519 0.481 0.000 Ga
0.811 0.189 0.500 Ga
0.811 0.622 0.500 Ga
0.963 0.481 0.000 Ga
```

Results
Its raw total energy is -31.6 eV for the cell shown. The mass density comes out at 7.7 g/cm³. The size of the total moment is 0.00 μB per cell. The space group is P-6m2 (187). The energy of formation comes out at -0.53 eV/atom.



Below is an optimized crystal structure of Pm5TmGa6, with properties calculated at the PBE level.

Structure (POSCAR):
```
Pm5TmGa6
1.0
4.452 -7.743 0.000
4.452 7.743 0.000
-2.979 0.000 4.209
Pm Tm Ga
5 1 6
Direct
0.000 0.000 0.000 Pm
0.164 0.836 0.500 Pm
0.328 0.672 0.000 Pm
0.672 0.328 0.000 Pm
0.836 0.164 0.500 Pm
0.500 0.500 0.500 Tm
0.095 0.421 0.258 Ga
0.265 0.265 0.765 Ga
0.421 0.095 0.258 Ga
0.579 0.905 0.742 Ga
0.735 0.735 0.235 Ga
0.905 0.579 0.742 Ga
```

Results
Its raw total energy is -53.2 eV for the cell shown. The mass density comes out at 7.5 g/cm³. The size of the total moment is 0.00 μB per cell. The space group is C2/m (12). The energy of formation comes out at -0.57 eV/atom.



Below is an optimized crystal structure of Pm2TmGa, with properties calculated at the PBE level.

Structure (POSCAR):
```
Pm2TmGa
1.0
4.765 0.000 0.000
0.000 4.765 0.000
0.000 0.000 4.811
Pm Tm Ga
2 1 1
Direct
0.000 0.500 0.000 Pm
0.500 0.000 0.000 Pm
0.000 0.000 0.500 Tm
0.500 0.500 0.500 Ga
```

Results
Its raw total energy is -17.9 eV for the cell shown. Its relative energy among the computed polymorphs is 0.11 eV per formula unit. The mass density comes out at 8.0 g/cm³. The size of the total moment is 0.00 μB per cell. The space group is P4/mmm (123). The energy of formation comes out at -0.23 eV/atom.



Below is an optimized crystal structure of Pm2Tm3Ga4, with properties calculated at the PBE level.

Structure (POSCAR):
```
Pm2Tm3Ga4
1.0
3.399 -7.938 0.000
3.399 7.938 0.000
0.000 0.000 8.469
Pm Tm Ga
4 6 8
Direct
0.107 0.893 0.918 Pm
0.393 0.607 0.418 Pm
0.607 0.393 0.582 Pm
0.893 0.107 0.082 Pm
0.000 0.000 0.500 Tm
0.034 0.466 0.750 Tm
0.466 0.034 0.250 Tm
0.500 0.500 0.000 Tm
0.534 0.966 0.750 Tm
0.966 0.534 0.250 Tm
0.184 0.816 0.543 Ga
0.215 0.285 0.750 Ga
0.285 0.215 0.250 Ga
0.316 0.684 0.043 Ga
0.684 0.316 0.957 Ga
0.715 0.785 0.750 Ga
0.785 0.715 0.250 Ga
0.816 0.184 0.457 Ga
```

Results
Its raw total energy is -77.8 eV for the cell shown. Its relative energy among the computed polymorphs is 1.44 eV per formula unit. The mass density comes out at 7.8 g/cm³. The size of the total moment is 0.00 μB per cell. The space group is Cmce (64). The energy of formation comes out at -0.43 eV/atom.



Below is an optimized crystal structure of Pm4TmGa, with properties calculated at the PBE level.

Structure (POSCAR):
```
Pm4TmGa
1.0
6.190 -1.866 0.000
6.190 1.866 0.000
-3.281 0.000 7.999
Pm Tm Ga
4 1 1
Direct
0.140 0.140 0.358 Pm
0.163 0.163 0.799 Pm
0.837 0.837 0.201 Pm
0.860 0.860 0.642 Pm
0.500 0.500 0.000 Tm
0.500 0.500 0.500 Ga
```

Results
Its raw total energy is -27.4 eV for the cell shown. The mass density comes out at 7.4 g/cm³. The size of the total moment is 0.00 μB per cell. The space group is C2/m (12). The energy of formation comes out at -0.15 eV/atom.



Below is an optimized crystal structure of Pm2Tm2ZnGa4, with properties calculated at the PBE level.

Structure (POSCAR):
```
Pm2Tm2ZnGa4
1.0
-3.494 3.494 4.418
3.494 -3.494 4.418
3.494 3.494 -4.418
Pm Tm Zn Ga
2 2 1 4
Direct
0.190 0.190 0.000 Pm
0.810 0.810 0.000 Pm
0.250 0.750 0.500 Tm
0.750 0.250 0.500 Tm
0.500 0.500 0.000 Zn
0.256 0.256 0.513 Ga
0.256 0.744 0.000 Ga
0.744 0.256 0.000 Ga
0.744 0.744 0.487 Ga
```

Results
Its raw total energy is -34.0 eV for the cell shown. The mass density comes out at 7.5 g/cm³. The size of the total moment is 0.00 μB per cell. The space group is I4/mmm (139). The energy of formation comes out at -0.24 eV/atom.



Below is an optimized crystal structure of PmTm2Zn2Ga2, with properties calculated at the PBE level.

Structure (POSCAR):
```
PmTm2Zn2Ga2
1.0
2.229 1.287 9.094
-2.229 1.287 9.094
0.000 -2.574 9.094
Pm Tm Zn Ga
1 2 2 2
Direct
0.000 0.000 0.000 Pm
0.128 0.128 0.128 Tm
0.872 0.872 0.872 Tm
0.404 0.404 0.404 Zn
0.596 0.596 0.596 Zn
0.257 0.257 0.257 Ga
0.743 0.743 0.743 Ga
```

Results
Its raw total energy is -25.1 eV for the cell shown. The mass density comes out at 8.0 g/cm³. The size of the total moment is 0.00 μB per cell. The space group is R-3m (166). The energy of formation comes out at -0.40 eV/atom.



Below is an optimized crystal structure of PmUGa2, with properties calculated at the PBE level.

Structure (POSCAR):
```
PmUGa2
1.0
5.514 0.000 0.000
0.000 5.514 0.000
0.000 0.000 2.983
Pm U Ga
1 1 2
Direct
0.000 0.000 0.000 Pm
0.500 0.500 0.000 U
0.000 0.500 0.500 Ga
0.500 0.000 0.500 Ga
```

Results
Its raw total energy is -22.9 eV for the cell shown. The mass density comes out at 9.6 g/cm³. The size of the total moment is 2.96 μB per cell. The space group is P4/mmm (123). The energy of formation comes out at -0.21 eV/atom.



Below is an optimized crystal structure of PmUGa2, with properties calculated at the PBE level.

Structure (POSCAR):
```
PmUGa2
1.0
1.586 0.916 10.291
-1.586 0.916 10.291
0.000 -1.831 10.291
Pm U Ga
1 1 2
Direct
0.000 0.000 0.000 Pm
0.500 0.500 0.500 U
0.248 0.248 0.248 Ga
0.752 0.752 0.752 Ga
```

Results
Its raw total energy is -22.2 eV for the cell shown. The mass density comes out at 9.7 g/cm³. The size of the total moment is 1.63 μB per cell. The space group is R-3m (166). The energy of formation comes out at -0.02 eV/atom.



Below is an optimized crystal structure of PmU4Ga15, with properties calculated at the PBE level.

Structure (POSCAR):
```
PmU4Ga15
1.0
4.272 0.000 0.000
0.000 4.272 0.000
0.000 0.000 21.504
Pm U Ga
1 4 15
Direct
0.000 0.000 0.000 Pm
0.000 0.000 0.202 U
0.000 0.000 0.401 U
0.000 0.000 0.599 U
0.000 0.000 0.798 U
0.000 0.500 0.103 Ga
0.000 0.500 0.301 Ga
0.000 0.500 0.500 Ga
0.000 0.500 0.699 Ga
0.000 0.500 0.897 Ga
0.500 0.000 0.103 Ga
0.500 0.000 0.301 Ga
0.500 0.000 0.500 Ga
0.500 0.000 0.699 Ga
0.500 0.000 0.897 Ga
0.500 0.500 0.000 Ga
0.500 0.500 0.202 Ga
0.500 0.500 0.400 Ga
0.500 0.500 0.600 Ga
0.500 0.500 0.798 Ga
```

Results
Its raw total energy is -101.3 eV for the cell shown. The mass density comes out at 9.1 g/cm³. The size of the total moment is 9.61 μB per cell. The space group is P4/mmm (123). The energy of formation comes out at -0.30 eV/atom.



Below is an optimized crystal structure of PmUGa2, with properties calculated at the PBE level.

Structure (POSCAR):
```
PmUGa2
1.0
3.280 0.000 0.000
0.000 3.280 0.000
0.000 0.000 8.423
Pm U Ga
1 1 2
Direct
0.000 0.000 0.000 Pm
0.000 0.000 0.500 U
0.500 0.500 0.256 Ga
0.500 0.500 0.744 Ga
```

Results
Its raw total energy is -23.0 eV for the cell shown. The mass density comes out at 9.6 g/cm³. The size of the total moment is 2.71 μB per cell. The space group is P4/mmm (123). The energy of formation comes out at -0.23 eV/atom.